{"formula": "Ba4SeS2Br", "functional": "GGA-PBE", "state": "relaxed", "lattice": [[-1.3426, -6.7731, 6.1698], [6.5491, -5.0791, -4.1300], [1.9112, 8.6300, 2.8838]], "species": ["Ba", "Ba", "Ba", "Ba", "Ba", "Ba", "Ba", "Ba", "Se", "Se", "S", "S", "S", "S", "Br", "Br"], "fractional_positions": [[0.2647, 0.7474, 0.0060], [0.7526, 0.2353, 0.4940], [0.2474, 0.7647, 0.5060], [0.7353, 0.2526, 0.9940], [0.7468, 0.7532, 0.0183], [0.7468, 0.7532, 0.4817], [0.2532, 0.2468, 0.5183], [0.2532, 0.2468, 0.9817], [0.0000, 0.5000, 0.0000], [0.0000, 0.5000, 0.5000], [0.5000, 0.0000, 0.0000], [0.5000, 0.0000, 0.5000], [0.0000, 0.0000, 0.5000], [0.5000, 0.5000, 0.0000], [0.5000, 0.5000, 0.5000], [0.0000, 0.0000, 0.0000]], "m_tot_mub_per_atom": 0.000, "space_group": "Imma", "density_g_cm3": 4.566, "formation_energy_uncorrected_ev_per_fu": -15.8}